This record from Alexandria describes a relaxed structure of CeFe5B2. The functional is PBE-GGA.

abc: 5.7892 5.7892 5.7892
angles: 148.45 110.27 78.55
Last column: nearest neighbours and their distance in Å.
Atoms (fractional coordinates):
Ce1 0.0000 0.0000 0.0000  4 B 2.81, 8 Fe 2.96, 2 Ce 3.15
Fe1 0.1510 0.3405 0.8105  3 B 2.14-2.24
Fe2 0.4700 0.6595 0.8105  3 B 2.14-2.24
Fe3 0.5000 0.0000 0.5000  2 B 2.15
Fe4 0.5300 0.3405 0.1895  3 B 2.14-2.24
Fe5 0.8490 0.6595 0.1895  3 B 2.14-2.24
B1 0.2599 0.7599 0.5000  7 Fe 2.14-2.24
B2 0.7401 0.2401 0.5000  7 Fe 2.14-2.24

The total energy comes out at -7.94 eV per atom. For the total magnetization, the calculation gives 8.18 μB per formula unit. The calculation puts the theoretical density at 7.84 Mg/m³. The calculation puts the formation energy from the elements at -0.24 eV/atom.


This record from Alexandria describes a relaxed structure of Ca2La2Tc. The functional is PBE-GGA.

abc: 7.3000 7.3000 6.4171
angles: 90.00 90.00 90.00
Last column: nearest neighbours and their distance in Å.
Atoms (fractional coordinates):
Ca1 0.1806 0.3194 0.0000  2 La 3.53, 5 Ca 3.73-3.79
Ca2 0.3194 0.8194 0.0000  2 La 3.53, 5 Ca 3.73-3.79
Ca3 0.6806 0.1806 0.0000  2 La 3.53, 5 Ca 3.73-3.79
Ca4 0.8194 0.6806 0.0000  2 La 3.53, 5 Ca 3.73-3.79
La1 0.1762 0.6762 0.5000  2 Tc 2.69
La2 0.3238 0.1762 0.5000  2 Tc 2.69
La3 0.6762 0.8238 0.5000  2 Tc 2.69
La4 0.8238 0.3238 0.5000  2 Tc 2.69
Tc1 0.0000 0.0000 0.5000  4 La 2.69
Tc2 0.5000 0.5000 0.5000  4 La 2.69

The total energy comes out at -4.59 eV per atom. For the total magnetization, the calculation gives 0.00 μB per formula unit. The calculation puts the theoretical density at 4.43 Mg/m³. The calculation puts the formation energy from the elements at 0.26 eV/atom.


This record from Alexandria describes a relaxed structure of LaZrCr3. The functional is PBE-GGA.

abc: 4.7225 4.7225 4.7225
angles: 90.00 90.00 90.00
Last column: nearest neighbours and their distance in Å.
Atoms (fractional coordinates):
La1 0.0000 0.0000 0.0000  12 Cr 3.34
Zr1 0.5000 0.5000 0.5000  6 Cr 2.36
Cr1 0.0000 0.5000 0.5000  2 Zr 2.36
Cr2 0.5000 0.0000 0.5000  2 Zr 2.36
Cr3 0.5000 0.5000 0.0000  2 Zr 2.36

The total energy comes out at -7.02 eV per atom. For the total magnetization, the calculation gives 0.00 μB per formula unit. The calculation puts the theoretical density at 6.09 Mg/m³. The calculation puts the energy relative to the lowest polymorph listed for this composition at 0.000 eV/atom. The calculation puts the formation energy from the elements at 1.45 eV/atom.


This record from Alexandria describes a relaxed structure of LiTcTe2I. The functional is PBE-GGA.

abc: 5.0546 5.0546 5.5776
angles: 90.00 90.00 90.00
Last column: nearest neighbours and their distance in Å.
Atoms (fractional coordinates):
Li1 0.0000 0.0000 0.0000  4 Te 2.53, 2 I 2.79
Tc1 0.5000 0.5000 0.5000  4 I 3.57, 8 Te 3.76
Te1 0.0000 0.5000 0.0000  2 Li 2.53
Te2 0.5000 0.0000 0.0000  2 Li 2.53
I1 0.0000 0.0000 0.5000  2 Li 2.79

The total energy comes out at -3.23 eV per atom. For the total magnetization, the calculation gives 4.41 μB per formula unit. The calculation puts the theoretical density at 5.68 Mg/m³. The calculation puts the energy relative to the lowest polymorph listed for this composition at 0.661 eV/atom. The value obtained for the energy relative to the elements, uncorrected is 4.0 eV/f.u.


This record from Alexandria describes a relaxed structure of PuScRuRh. The functional is PBE-GGA.

abc: 4.6818 4.6818 4.6818
angles: 60.00 60.00 60.00
Last column: nearest neighbours and their distance in Å.
Atoms (fractional coordinates):
Pu1 0.0000 0.0000 0.0000  4 Rh 2.87, 4 Ru 2.87
Sc1 0.5000 0.5000 0.5000  4 Ru 2.87, 4 Rh 2.87
Ru1 0.2500 0.2500 0.2500  4 Sc 2.87, 4 Pu 2.87
Rh1 0.7500 0.7500 0.7500  4 Sc 2.87, 4 Pu 2.87

The total energy comes out at -9.85 eV per atom. For the total magnetization, the calculation gives 4.55 μB per formula unit. The calculation puts the theoretical density at 11.28 Mg/m³. The calculation puts the formation energy from the elements at -0.53 eV/atom.


This record from Alexandria describes a relaxed structure of CeI2Cl. The functional is PBE-GGA.

abc: 6.9015 6.9015 6.9015
angles: 145.45 74.29 116.56
Last column: nearest neighbours and their distance in Å.
Atoms (fractional coordinates):
Ce1 0.0000 0.0000 0.0000  2 Cl 2.77
I1 0.0058 0.6886 0.3172  2 Ce 3.18
I2 0.3714 0.6886 0.6828  2 Ce 3.18
Cl1 0.7422 0.2422 0.5000  2 Ce 2.77

The total energy comes out at -4.32 eV per atom. For the total magnetization, the calculation gives 1.00 μB per formula unit. The calculation puts the theoretical density at 4.36 Mg/m³. The calculation puts the energy relative to the lowest polymorph listed for this composition at 0.051 eV/atom. The value obtained for the energy relative to the elements, uncorrected is -6.4 eV/f.u.